Computed, not measured: a relaxed Tl15CdBi4 crystal at the PBE level of DFT.

Crystal system: tetragonal
E (eV for the cell shown): -52.18
V (Å³/atom): 31.2

Cell: 5.004 5.004 24.934 Å, 90.00 90.00 90.00°
Space group P4/mmm (No. 123)
Inequivalent atoms, fractional coordinates:
Tl  0.000  0.000  0.000 (multiplicity 1)
Tl  0.000  0.000  0.200 (multiplicity 2)
Tl  0.000  0.000  0.399 (multiplicity 2)
Tl  0.000  0.500  0.100 (multiplicity 4)
Tl  0.000  0.500  0.299 (multiplicity 4)
Tl  0.000  0.500  0.500 (multiplicity 2)
Cd  0.500  0.500  0.000 (multiplicity 1)
Bi  0.500  0.500  0.196 (multiplicity 2)
Bi  0.500  0.500  0.398 (multiplicity 2)

***

Computed, not measured: a relaxed Dy7As5P crystal at the PBE level of DFT.

Crystal system: orthorhombic
E (eV for the cell shown): -315.47
V (Å³/atom): 25.2

Cell: 4.060 13.487 23.885 Å, 90.00 90.00 90.00°
Space group Cmcm (No. 63)
Inequivalent atoms, fractional coordinates:
Dy  0.000  0.057  0.250 (multiplicity 4)
Dy  0.000  0.137  0.536 (multiplicity 8)
Dy  0.000  0.316  0.179 (multiplicity 8)
Dy  0.000  0.412  0.606 (multiplicity 8)
As  0.000  0.046  0.648 (multiplicity 8)
As  0.000  0.227  0.074 (multiplicity 8)
As  0.000  0.500  0.000 (multiplicity 4)
P  0.000  0.298  0.750 (multiplicity 4)

***

Computed, not measured: a relaxed Cs2RhBr2F4 crystal at the PBE level of DFT.

Crystal system: tetragonal
E (eV for the cell shown): -72.10
V (Å³/atom): 25.9
E_form (uncorrected) (meV/atom): -1795.5

Cell: 7.321 7.321 8.695 Å, 90.00 90.00 90.00°
Space group I4/mmm (No. 139)
Inequivalent atoms, fractional coordinates:
Cs  0.000  0.500  0.250 (multiplicity 4)
Rh  0.000  0.000  0.000 (multiplicity 2)
Br  0.000  0.000  0.287 (multiplicity 4)
F  0.190  0.190  0.000 (multiplicity 8)

***

Computed, not measured: a relaxed Re2TeRh crystal at the PBE level of DFT.

Crystal system: monoclinic
E (eV for the cell shown): -32.95
V (Å³/atom): 16.9
E_form (uncorrected) (meV/atom): 610.0

Cell: 2.923 4.226 5.631 Å, 90.00 103.66 90.00°
Space group P2/m (No. 10)
Inequivalent atoms, fractional coordinates:
Re  0.108  0.000  0.222 (multiplicity 2)
Te  0.500  0.500  0.500 (multiplicity 1)
Rh  0.500  0.500  0.000 (multiplicity 1)